[1]
VASP calculation (PBE-GGA) on a relaxed Y2ReSi crystal.

abc: 3.4411 3.4411 25.9302
angles: 90.00 90.00 120.00
With the nearest neighbours (Å) after each atom.
Space group R-3m (No. 166, hexagonal axes)
Symmetry-distinct sites (fractional):
1 Y 0.0000 0.0000 0.2478 [6 per cell]  3 Re 2.89, 3 Si 2.98
2 Re 0.0000 0.0000 0.5000 [3 per cell]  6 Y 2.89
3 Si 0.0000 0.0000 0.0000 [3 per cell]  6 Y 2.98

Values from the calculation:
Uncorrected energy (eV for the cell shown): -90.19
Magnetic moment (μB per formula unit): 0.00
Energy relative to the elements, uncorrected (eV per atom): 0.184


[2]
VASP calculation (PBE-GGA) on a relaxed YReSi2 crystal.

abc: 6.4267 6.4267 6.4267
angles: 90.00 90.00 90.00
With the nearest neighbours (Å) after each atom.
Space group Fm-3m (No. 225)
Symmetry-distinct sites (fractional):
1 Y 0.0000 0.0000 0.0000 [4 per cell]  8 Si 2.78
2 Re 0.0000 0.0000 0.5000 [4 per cell]  8 Si 2.78
3 Si 0.2500 0.2500 0.2500 [8 per cell]  4 Re 2.78, 4 Y 2.78

Values from the calculation:
Uncorrected energy (eV for the cell shown): -121.25
Magnetic moment (μB per formula unit): 0.00
Energy relative to the elements, uncorrected (eV per atom): -0.139


[3]
VASP calculation (PBE-GGA) on a relaxed Y2ReSi crystal.

abc: 3.4934 4.7527 10.4485
angles: 90.00 90.00 90.00
With the nearest neighbours (Å) after each atom.
Space group Imm2 (No. 44)
Symmetry-distinct sites (fractional):
1 Y 0.0000 0.0000 0.0000 [2 per cell]  4 Si 3.07, 2 Re 3.16, 4 Y 3.31-3.40
2 Y 0.0000 0.5000 0.2208 [2 per cell]  4 Re 2.97, 2 Si 3.14, 2 Y 3.31
3 Re 0.0000 0.5000 0.7522 [2 per cell]  2 Si 2.46
4 Si 0.0000 0.0000 0.4174 [2 per cell]  2 Re 2.46

Values from the calculation:
Uncorrected energy (eV for the cell shown): -62.78
Magnetic moment (μB per formula unit): 0.00
Energy relative to the elements, uncorrected (eV per atom): -0.148


[4]
VASP calculation (PBE-GGA) on a relaxed Y2ReSi2 crystal.

abc: 6.7578 6.7578 4.2337
angles: 90.00 90.00 90.00
With the nearest neighbours (Å) after each atom.
Space group P4/mbm (No. 127)
Symmetry-distinct sites (fractional):
1 Y 0.1783 0.3217 0.0000 [4 per cell]  6 Si 2.81-2.98
2 Re 0.0000 0.0000 0.5000 [2 per cell]  4 Si 2.65
3 Si 0.1290 0.6290 0.5000 [4 per cell]  1 Si 2.47, 2 Re 2.65

Values from the calculation:
Uncorrected energy (eV for the cell shown): -78.44
Magnetic moment (μB per formula unit): 0.00
Energy relative to the elements, uncorrected (eV per atom): -0.599


[5]
VASP calculation (PBE-GGA) on a relaxed YRe3Si3 crystal.

abc: 6.6096 6.6096 6.6096
angles: 90.00 90.00 90.00
With the nearest neighbours (Å) after each atom.
Space group Pm-3n (No. 223)
Symmetry-distinct sites (fractional):
1 Y 0.0000 0.0000 0.0000 [2 per cell]  12 Re 3.69, 12 Si 3.69
2 Re 0.0000 0.2500 0.5000 [6 per cell]  4 Si 2.34
3 Si 0.0000 0.5000 0.2500 [6 per cell]  4 Re 2.34

Values from the calculation:
Uncorrected energy (eV for the cell shown): -113.79
Magnetic moment (μB per formula unit): 1.04
Energy relative to the elements, uncorrected (eV per atom): 0.454


[6]
VASP calculation (PBE-GGA) on a relaxed Y2ReSi crystal.

abc: 10.7408 3.4138 4.9117
angles: 90.00 108.25 90.00
With the nearest neighbours (Å) after each atom.
Space group Cm (No. 8)
Symmetry-distinct sites (fractional):
1 Y 0.0000 0.0000 0.0000 [2 per cell]  1 Re 2.94, 4 Si 3.02-3.07, 1 Y 3.16
2 Y 0.2118 0.0000 0.6742 [2 per cell]  3 Si 2.96-3.24, 4 Re 3.02-3.12, 1 Y 3.16
3 Re 0.2793 0.5000 0.2325 [2 per cell]  2 Si 2.46
4 Si 0.4420 0.0000 0.4664 [2 per cell]  2 Re 2.46

Values from the calculation:
Uncorrected energy (eV for the cell shown): -62.72
Magnetic moment (μB per formula unit): 0.00
Energy relative to the elements, uncorrected (eV per atom): -0.140


[7]
VASP calculation (PBE-GGA) on a relaxed YReSi2 crystal.

abc: 3.3294 4.1319 5.1760
angles: 90.00 108.67 90.00
With the nearest neighbours (Å) after each atom.
Space group Pm (No. 6)
Symmetry-distinct sites (fractional):
1 Y 0.0000 0.0000 0.0000 [1 per cell]  7 Si 2.64-2.81
2 Re 0.7136 0.5000 0.4244 [1 per cell]  6 Si 2.53-2.71
3 Si 0.2711 0.0000 0.5381 [1 per cell]  2 Si 2.47, 1 Y 2.64, 4 Re 2.71
4 Si 0.4069 0.5000 0.8129 [1 per cell]  2 Si 2.47, 2 Re 2.53

Values from the calculation:
Uncorrected energy (eV for the cell shown): -30.63
Magnetic moment (μB per formula unit): 0.00
Energy relative to the elements, uncorrected (eV per atom): -0.218


[8]
VASP calculation (PBE-GGA) on a relaxed YReSi2 crystal.

abc: 3.2167 3.9070 11.8914
angles: 90.00 90.00 90.00
With the nearest neighbours (Å) after each atom.
Space group Imm2 (No. 44)
Symmetry-distinct sites (fractional):
1 Y 0.0000 0.0000 0.0000 [2 per cell]  4 Si 2.89, 2 Re 3.11, 2 Y 3.22
2 Re 0.0000 0.5000 0.2762 [2 per cell]  6 Si 2.47-2.53
3 Si 0.0000 0.0000 0.6183 [2 per cell]  2 Re 2.47, 2 Si 2.66
4 Si 0.0000 0.5000 0.7704 [2 per cell]  4 Re 2.53, 2 Si 2.66

Values from the calculation:
Uncorrected energy (eV for the cell shown): -60.33
Magnetic moment (μB per formula unit): 0.00
Energy relative to the elements, uncorrected (eV per atom): -0.101